(1)
This record from Alexandria via LeMat-Bulk describes an optimized crystal structure of DyGa3Ru. The functional is PBE.

The structure in extended XYZ format:
```
15
Lattice="6.4283 0.0000 0.0000 0.0000 6.4283 0.0000 0.0000 0.0000 6.4283" Properties=species:S:1:pos:R:3 pbc="T T T"
Ru 0.0000 0.0000 3.2142
Ru 0.0000 3.2142 0.0000
Ru 3.2142 0.0000 0.0000
Ga 5.0696 5.0696 1.3587
Ga 5.0696 1.3587 5.0696
Ga 5.0696 1.3587 1.3587
Ga 1.3587 1.3587 5.0696
Ga 1.3587 5.0696 5.0696
Ga 3.2142 3.2142 3.2142
Ga 1.3587 5.0696 1.3587
Ga 5.0696 5.0696 5.0696
Ga 1.3587 1.3587 1.3587
Dy 3.2142 0.0000 3.2142
Dy 0.0000 3.2142 3.2142
Dy 3.2142 3.2142 0.0000
```

Space-group type ... No. 221
Energy of formation from the pure elements ... -0.59 eV per atom

(2)
This record from Alexandria via LeMat-Bulk describes an optimized crystal structure of DyGaRu. The functional is PBE.

The structure in extended XYZ format:
```
3
Lattice="-2.4826 2.0602 -1.6188 1.3095 -1.4709 -3.8804 -3.1442 -2.0845 2.1690" Properties=species:S:1:pos:R:3 pbc="T T T"
Dy -1.8299 -0.3022 -2.9429
Ru -2.0737 -1.5364 -0.1174
Ga -0.4137 0.3433 -0.2697
```

Space-group type ... No. 187
Energy of formation from the pure elements ... -0.48 eV per atom

(3)
This record from Alexandria via LeMat-Bulk describes an optimized crystal structure of Dy3Ga2SiRu3. The functional is PBE.

The structure in extended XYZ format:
```
9
Lattice="-3.4757 -0.4909 -0.1361 0.4248 -4.5993 5.7402 -1.0614 7.2041 1.1223" Properties=species:S:1:pos:R:3 pbc="T T T"
Ru -2.5450 5.2328 0.7854
Ru -1.4148 -3.7429 4.2970
Ru -1.8904 0.3786 1.5760
Dy 0.1642 -1.7779 2.2189
Dy -0.4103 2.7848 0.4338
Dy -0.3906 1.5978 4.2098
Ga -2.3039 3.0241 2.5936
Ga -1.8085 -0.9103 4.1329
Si 0.0000 0.0000 0.0000
```

Space-group type ... No. 189
E_form (uncorrected) ... -61.3 kJ per mole of atoms

(4)
This record from Alexandria via LeMat-Bulk describes an optimized crystal structure of Dy2GaSi2Ru5. The functional is PBE.

The structure in extended XYZ format:
```
20
Lattice="3.2411 0.0000 0.0000 0.0000 9.9554 0.0000 0.0000 0.0000 9.9554" Properties=species:S:1:pos:R:3 pbc="T T T"
Ga 0.0000 4.9777 4.9777
Ga 0.0000 0.0000 0.0000
Si 0.0000 8.6809 3.7032
Si 0.0000 6.2521 8.6809
Si 0.0000 1.2744 6.2521
Si 0.0000 3.7032 1.2744
Ru 1.6205 2.9180 5.6448
Ru 1.6205 7.8957 9.2882
Ru 1.6205 7.0374 4.3105
Ru 1.6205 2.0597 0.6672
Ru 1.6205 5.6448 7.0374
Ru 1.6205 0.6672 7.8957
Ru 1.6205 9.2882 2.0597
Ru 1.6205 0.0000 4.9777
Ru 1.6205 4.9777 0.0000
Ru 1.6205 4.3105 2.9180
Dy 0.0000 3.2567 8.2344
Dy 0.0000 8.2344 6.6987
Dy 0.0000 1.7210 3.2567
Dy 0.0000 6.6987 1.7210
```

Space-group type ... No. 127
E_form (uncorrected) ... -60.6 kJ per mole of atoms

(5)
This record from Alexandria via LeMat-Bulk describes an optimized crystal structure of Dy2Ga2SnRu5. The functional is PBE.

The structure in extended XYZ format:
```
20
Lattice="-1.7937 0.8504 2.8227 -3.1994 -9.4661 0.8189 7.9448 -2.1914 5.7088" Properties=species:S:1:pos:R:3 pbc="T T T"
Ru 5.2220 -1.9356 6.0109
Ru 2.6441 -3.6183 4.8797
Ru -2.2702 -8.8715 3.3395
Ru 2.8857 -6.4654 5.8910
Ru 0.0660 -4.3416 3.4594
Ru 0.3076 -7.1887 4.4707
Ru -2.4965 -4.3078 1.8208
Ru 3.9834 -9.1620 7.4010
Ru 3.0756 -0.6705 4.2658
Ru -1.0317 -1.6450 1.9494
Sn 0.0000 0.0000 0.0000
Sn 2.3727 -5.8287 3.2638
Ga 4.5738 -2.5729 3.6816
Ga 0.1717 -9.0845 2.8461
Ga 4.9329 -7.8463 5.4986
Ga -0.1875 -3.8112 1.0291
Dy 5.5281 -4.9174 4.9944
Dy 2.6917 -9.3093 4.5152
Dy 2.0538 -2.3482 2.0125
Dy -0.7827 -6.7401 1.5333
```

Space-group type ... No. 127
Energy of formation from the pure elements ... -0.34 eV per atom

(6)
This record from Alexandria via LeMat-Bulk describes an optimized crystal structure of DyGaSnRu. The functional is PBE.

The structure in extended XYZ format:
```
4
Lattice="4.4070 0.0000 0.0000 2.2035 3.8166 0.0000 2.2035 1.2722 4.8784" Properties=species:S:1:pos:R:3 pbc="T T T"
Dy 6.6105 3.8166 2.7197
Ga 4.4070 2.5444 1.1378
Sn 2.2035 1.2722 4.4142
Ru 2.2035 1.2722 0.6186
```

Space-group type ... No. 160
Energy of formation from the pure elements ... -0.42 eV per atom

(7)
This record from Alexandria via LeMat-Bulk describes an optimized crystal structure of DyTmGaRu. The functional is PBE.

The structure in extended XYZ format:
```
4
Lattice="-2.6102 -2.3529 3.4098 1.5337 -4.3266 1.7042 1.7097 -0.3631 4.5740" Properties=species:S:1:pos:R:3 pbc="T T T"
Dy 0.3166 -3.5213 4.8440
Ru 0.4749 -5.2820 7.2660
Ga 0.1583 -1.7607 2.4220
Tm 0.0000 0.0000 0.0000
```

Space-group type ... No. 216
Energy of formation from the pure elements ... -0.48 eV per atom

(8)
This record from Alexandria via LeMat-Bulk describes an optimized crystal structure of DyTmGaRu. The functional is PBE.

The structure in extended XYZ format:
```
4
Lattice="3.8173 0.0000 0.0000 0.0000 4.3250 0.0000 -1.9086 0.0000 5.3142" Properties=species:S:1:pos:R:3 pbc="T T T"
Dy 1.9086 2.1625 3.7553
Ru 1.9086 2.1625 0.7686
Ga 0.0000 0.0000 4.6027
Tm 0.0000 0.0000 1.5019
```

Space-group type ... No. 38
Energy of formation from the pure elements ... -0.50 eV per atom